A plane-wave DFT calculation with PBE was carried out for a relaxed Fe2PtRh7 crystal.

Calculated values
* ρ: 11.8 g/cm3
* formation energy from the elements: 1.65 eV per formula unit
* magnetization: 6.33 Bohr magnetons per cell

Cell and atoms, written as CIF:
```
data_Fe2PtRh7
_cell_length_a 6.612
_cell_length_b 2.681
_cell_length_c 8.777
_cell_angle_alpha 90.00
_cell_angle_beta 111.62
_cell_angle_gamma 90.00
_space_group_name_H-M_alt 'P 1 2/m 1'
_space_group_IT_number 10
loop_
_space_group_symop_operation_xyz
'x,y,z'
'-x,-y,-z'
'-x,y,-z'
'x,-y,z'
loop_
_atom_site_label
_atom_site_fract_x
_atom_site_fract_y
_atom_site_fract_z
Fe1 0.101 0.000 0.393
Pt1 0.500 0.500 0.500
Rh1 0.120 0.500 0.886
Rh2 0.263 0.000 0.181
Rh3 0.300 0.000 0.685
Rh4 0.500 0.000 0.000
```



A plane-wave DFT calculation with PBE was carried out for a relaxed NiAsW2 crystal.

Calculated values
* ρ: 14.4 g/cm3
* formation energy from the elements: 1.14 eV per formula unit
* magnetization: 0.00 Bohr magnetons per cell

Cell and atoms, written as CIF:
```
data_NiAsW2
_cell_length_a 2.978
_cell_length_b 2.978
_cell_length_c 6.519
_cell_angle_alpha 90.00
_cell_angle_beta 90.00
_cell_angle_gamma 90.00
_space_group_name_H-M_alt 'P 4/m m m'
_space_group_IT_number 123
_space_group_name_Hall '-P 4 2'
loop_
_atom_site_label
_atom_site_fract_x
_atom_site_fract_y
_atom_site_fract_z
Ni1 0.000 0.000 0.000
As1 0.000 0.000 0.500
W1 0.500 0.500 0.253
```



A plane-wave DFT calculation with PBE was carried out for a relaxed SmTm3Se4 crystal.

Calculated values
* ΔE_f (raw): -1290 kJ/mol of formula units
* ρ: 8.5 g/cm3
* distance to the lowest polymorph of the same formula: 23 meV per atom
* magnetization: 0.00 Bohr magnetons per cell

Cell and atoms, written as CIF:
```
data_SmTm3Se4
_cell_length_a 5.742
_cell_length_b 5.742
_cell_length_c 5.742
_cell_angle_alpha 90.00
_cell_angle_beta 90.00
_cell_angle_gamma 90.00
_space_group_name_H-M_alt 'P m -3 m'
_space_group_IT_number 221
_space_group_name_Hall '-P 4 2 3'
loop_
_atom_site_label
_atom_site_fract_x
_atom_site_fract_y
_atom_site_fract_z
Sm1 0.000 0.000 0.000
Tm1 0.000 0.500 0.500
Se1 0.000 0.000 0.500
Se2 0.500 0.500 0.500
```



A plane-wave DFT calculation with PBE was carried out for a relaxed NpZnSi crystal.

Calculated values
* ΔE_f (raw): -6 kJ/mol of formula units
* ρ: 11.0 g/cm3
* magnetization: 0.00 Bohr magnetons per cell

Cell and atoms, written as CIF:
```
data_NpZnSi
_cell_length_a 7.551
_cell_length_b 5.519
_cell_length_c 4.891
_cell_angle_alpha 90.00
_cell_angle_beta 102.27
_cell_angle_gamma 90.00
_space_group_name_H-M_alt 'P 1 21/c 1'
_space_group_IT_number 14
loop_
_space_group_symop_operation_xyz
'x,y,z'
'-x,-y,-z'
'-x,y+1/2,-z+1/2'
'x,-y+1/2,z+1/2'
loop_
_atom_site_label
_atom_site_fract_x
_atom_site_fract_y
_atom_site_fract_z
Np1 0.105 0.151 0.120
Zn1 0.475 0.249 0.493
Si1 0.228 0.628 0.164
```



A plane-wave DFT calculation with PBE was carried out for a relaxed HfMn2Ge3 crystal.

Calculated values
* ρ: 9.0 g/cm3
* formation energy from the elements: -1.04 eV per formula unit
* magnetization: 6.36 Bohr magnetons per cell

Cell and atoms, written as CIF:
```
data_HfMn2Ge3
_cell_length_a 3.911
_cell_length_b 7.587
_cell_length_c 6.328
_cell_angle_alpha 90.00
_cell_angle_beta 90.00
_cell_angle_gamma 90.00
_space_group_name_H-M_alt 'P m c 21'
_space_group_IT_number 26
loop_
_space_group_symop_operation_xyz
'x,y,z'
'-x,-y,z+1/2'
'-x,y,z'
'x,-y,z+1/2'
loop_
_atom_site_label
_atom_site_fract_x
_atom_site_fract_y
_atom_site_fract_z
Hf1 0.000 0.114 0.000
Mn1 0.000 0.258 0.505
Mn2 0.500 0.498 0.050
Ge1 0.000 0.453 0.810
Ge2 0.500 0.137 0.691
Ge3 0.500 0.215 0.282
```



A plane-wave DFT calculation with PBE was carried out for a relaxed ScMn2Re2 crystal.

Calculated values
* ρ: 11.9 g/cm3
* distance to the lowest polymorph of the same formula: 0 meV per atom
* formation energy from the elements: 0.51 eV per formula unit
* magnetization: 3.39 Bohr magnetons per cell

Cell and atoms, written as CIF:
```
data_ScMn2Re2
_cell_length_a 7.314
_cell_length_b 7.314
_cell_length_c 2.742
_cell_angle_alpha 90.00
_cell_angle_beta 90.00
_cell_angle_gamma 90.00
_space_group_name_H-M_alt 'P 4/m b m'
_space_group_IT_number 127
_space_group_name_Hall '-P 4 2ab'
loop_
_atom_site_label
_atom_site_fract_x
_atom_site_fract_y
_atom_site_fract_z
Sc1 0.000 0.000 0.000
Mn1 0.138 0.362 0.000
Re1 0.156 0.656 0.500
```



What did the fourth record say?
A plane-wave DFT calculation with PBE was carried out for a relaxed NpZnSi crystal.

Calculated values
* ΔE_f (raw): -6 kJ/mol of formula units
* ρ: 11.0 g/cm3
* magnetization: 0.00 Bohr magnetons per cell

Cell and atoms, written as CIF:
```
data_NpZnSi
_cell_length_a 7.551
_cell_length_b 5.519
_cell_length_c 4.891
_cell_angle_alpha 90.00
_cell_angle_beta 102.27
_cell_angle_gamma 90.00
_space_group_name_H-M_alt 'P 1 21/c 1'
_space_group_IT_number 14
loop_
_space_group_symop_operation_xyz
'x,y,z'
'-x,-y,-z'
'-x,y+1/2,-z+1/2'
'x,-y+1/2,z+1/2'
loop_
_atom_site_label
_atom_site_fract_x
_atom_site_fract_y
_atom_site_fract_z
Np1 0.105 0.151 0.120
Zn1 0.475 0.249 0.493
Si1 0.228 0.628 0.164
```



Which value of magnetization does entry 1 give? 6.33 Bohr magnetons per cell